First-principles (PBE) data for a relaxed NdMgAgTeS2 crystal, as listed in OQMD via LeMat-Bulk.

abc: 7.1288 7.1288 11.2200
angles: 90.00 90.00 148.02
Atoms (fractional coordinates):
Ag: 0.4920 0.5080 0.2500
Ag: 0.5080 0.4920 0.7500
Mg: 0.8042 0.1958 0.2500
Mg: 0.1958 0.8042 0.7500
Nd: 0.0000 0.0000 0.0000
Nd: 0.0000 0.0000 0.5000
S: 0.3669 0.6331 0.0863
S: 0.3669 0.6331 0.4137
S: 0.6331 0.3669 0.5863
S: 0.6331 0.3669 0.9137
Te: 0.1355 0.8645 0.2500
Te: 0.8645 0.1355 0.7500

## Properties
As for the space group: Cmcm, No. 63. The value obtained for the uncorrected energy is -4.457 eV per atom.

First-principles (PBE) data for a relaxed Cd2TcAu crystal, as listed in OQMD via LeMat-Bulk.

abc: 4.7237 4.7237 4.7237
angles: 60.00 60.00 60.00
Site moments in Bohr magnetons follow the coordinates.
Atoms (fractional coordinates):
Au: 0.2500 0.2500 0.2500  0.06
Cd: 0.5000 0.5000 0.5000  -0.02
Cd: 0.7500 0.7500 0.7500  -0.01
Tc: 0.0000 0.0000 0.0000  2.19

## Properties
As for the space group: F-43m, No. 216. For the energy relative to the elements, the calculation gives 368 meV per atom.